VASP calculation (PBE) on crystalline Na2PdPb5 at its relaxed geometry.

DFT formation energy = -0.006 eV per atom
VASP energy = -3.30 eV/atom

Geometry as POSCAR:
```
Na2PdPb5
1.0
5.319 0.000 0.000
0.000 7.054 0.000
0.000 0.000 7.054
Na Pd Pb
2 1 5
Direct
0.500 0.500 0.000
0.500 0.000 0.500
0.000 0.000 0.000
0.000 0.721 0.721
0.000 0.279 0.721
0.000 0.721 0.279
0.500 0.000 0.000
0.000 0.279 0.279
```